# CaTaCr2 meta-GGA SCAN single point on PBEsol structure
data_CaTaCr2
_chemical_formula_sum 'Ca1 Ta1 Cr2'
_symmetry_space_group_name_H-M 'P 1 m 1'
_symmetry_Int_Tables_number 6
_cell_length_a 2.881
_cell_length_b 3.653
_cell_length_c 6.889
_cell_angle_alpha 90.00
_cell_angle_beta 98.11
_cell_angle_gamma 90.00
loop_
_symmetry_equiv_pos_as_xyz
'x,y,z'
'x,-y,z'
loop_
_atom_site_label
_atom_site_type_symbol
_atom_site_fract_x
_atom_site_fract_y
_atom_site_fract_z
Ca1 Ca 0.000 0.000 0.000
Ta1 Ta 0.347 0.500 0.638
Cr1 Cr 0.515 0.500 0.310
Cr2 Cr 0.866 0.000 0.443
# - formation enthalpy at 0 K (kJ/mol of formula units) = 249.5
# - density of states at the Fermi level (states/eV/atom) = 0.9562
# - energy above the most stable polymorph in this dataset (meV per atom) = 0.0
# - calculated total energy (eV per atom) = -27.608

***

# Ca2CrTc meta-GGA SCAN single point on PBEsol structure
data_Ca2CrTc
_chemical_formula_sum 'Ca2 Cr1 Tc1'
_symmetry_space_group_name_H-M 'P 4 m m'
_symmetry_Int_Tables_number 99
_cell_length_a 3.195
_cell_length_b 3.195
_cell_length_c 8.739
_cell_angle_alpha 90.00
_cell_angle_beta 90.00
_cell_angle_gamma 90.00
loop_
_symmetry_equiv_pos_as_xyz
'x,y,z'
'-y,x,z'
'-x,-y,z'
'y,-x,z'
'-x,y,z'
'y,x,z'
'x,-y,z'
'-y,-x,z'
loop_
_atom_site_label
_atom_site_type_symbol
_atom_site_fract_x
_atom_site_fract_y
_atom_site_fract_z
Ca1 Ca 0.000 0.000 0.000
Ca2 Ca 0.500 0.500 0.387
Cr1 Cr 0.500 0.500 0.745
Tc1 Tc 0.000 0.000 0.637
# - formation enthalpy at 0 K (kJ/mol of formula units) = 118.4
# - density of states at the Fermi level (states/eV/atom) = 0.8836
# - calculated total energy (eV per atom) = -17.886

***

# CaCr2Te meta-GGA SCAN single point on PBEsol structure
data_CaCr2Te
_chemical_formula_sum 'Ca2 Cr4 Te2'
_symmetry_space_group_name_H-M 'I -4 m 2'
_symmetry_Int_Tables_number 119
_symmetry_space_group_name_Hall 'I -4 -2'
_cell_length_a 4.179
_cell_length_b 4.179
_cell_length_c 9.529
_cell_angle_alpha 90.00
_cell_angle_beta 90.00
_cell_angle_gamma 90.00
loop_
_atom_site_label
_atom_site_type_symbol
_atom_site_fract_x
_atom_site_fract_y
_atom_site_fract_z
Ca1 Ca 0.000 0.000 0.000
Cr1 Cr 0.000 0.000 0.500
Cr2 Cr 0.000 0.500 0.250
Te1 Te 0.000 0.500 0.750
# - uncorrected formation energy (eV/atom) = 0.07
# - density of states at the Fermi level (states/eV/atom) = 0.3629
# - calculated total energy (eV per atom) = -20.853

***

# CaCrTe2 meta-GGA SCAN single point on PBEsol structure
data_CaCrTe2
_chemical_formula_sum 'Ca2 Cr2 Te4'
_symmetry_space_group_name_H-M 'I -4 m 2'
_symmetry_Int_Tables_number 119
_symmetry_space_group_name_Hall 'I -4 -2'
_cell_length_a 4.211
_cell_length_b 4.211
_cell_length_c 11.505
_cell_angle_alpha 90.00
_cell_angle_beta 90.00
_cell_angle_gamma 90.00
loop_
_atom_site_label
_atom_site_type_symbol
_atom_site_fract_x
_atom_site_fract_y
_atom_site_fract_z
Ca1 Ca 0.000 0.000 0.000
Cr1 Cr 0.000 0.500 0.250
Te1 Te 0.000 0.000 0.500
Te2 Te 0.000 0.500 0.750
# - uncorrected formation energy (eV/atom) = -0.64
# - density of states at the Fermi level (states/eV/atom) = 0.4151
# - energy above the most stable polymorph in this dataset (meV per atom) = 53.3
# - calculated total energy (eV per atom) = -26.275

***

Copy entry 1 word for word.
# CaTaCr2 meta-GGA SCAN single point on PBEsol structure
data_CaTaCr2
_chemical_formula_sum 'Ca1 Ta1 Cr2'
_symmetry_space_group_name_H-M 'P 1 m 1'
_symmetry_Int_Tables_number 6
_cell_length_a 2.881
_cell_length_b 3.653
_cell_length_c 6.889
_cell_angle_alpha 90.00
_cell_angle_beta 98.11
_cell_angle_gamma 90.00
loop_
_symmetry_equiv_pos_as_xyz
'x,y,z'
'x,-y,z'
loop_
_atom_site_label
_atom_site_type_symbol
_atom_site_fract_x
_atom_site_fract_y
_atom_site_fract_z
Ca1 Ca 0.000 0.000 0.000
Ta1 Ta 0.347 0.500 0.638
Cr1 Cr 0.515 0.500 0.310
Cr2 Cr 0.866 0.000 0.443
# - formation enthalpy at 0 K (kJ/mol of formula units) = 249.5
# - density of states at the Fermi level (states/eV/atom) = 0.9562
# - energy above the most stable polymorph in this dataset (meV per atom) = 0.0
# - calculated total energy (eV per atom) = -27.608